This record from the Open Quantum Materials Database describes Rb2MoOsN4 after structural relaxation. The functional is PBE.

Unit cell a=6.0838 b=6.0838 c=6.0838 alpha=121.01 beta=121.01 gamma=88.27
Sites, in units of the cell vectors:
Rb (0.0000, 0.0000, 0.0000)
Rb (0.7500, 0.2500, 0.5000)
Mo (0.2500, 0.7500, 0.5000)
Os (0.5000, 0.5000, 0.0000)
N (0.3260, 0.6239, 0.1980)
N (0.3761, 0.5741, 0.7020)
N (0.4259, 0.1280, 0.8020)
N (0.8720, 0.6740, 0.2980)

## Properties
final energy: -7.283 eV/atom
calculated density: 5.4 g/cm3